First-principles (PBE) data for KBeNbCr2 after structural relaxation, as listed in the Alexandria database.

- calculated total energy (eV per atom) = -5.452

Unit cell a=4.8294 b=4.8294 c=5.0491 alpha=90.00 beta=90.00 gamma=90.00
With the nearest neighbours (Å) after each atom.
Positions (direct):
K1 0.0000 0.0000 0.0000  4 Be 3.41, 8 Cr 3.49
Be1 0.5000 0.5000 0.0000  2 Nb 2.52
Nb1 0.5000 0.5000 0.5000  4 Cr 2.41, 2 Be 2.52
Cr1 0.0000 0.5000 0.5000  2 Nb 2.41
Cr2 0.5000 0.0000 0.5000  2 Nb 2.41